Below is crystalline LiSbF6 at its relaxed geometry, with properties calculated at the PBE level.

```
LiSbF6
1.0
5.132 0.000 0.000
-2.566 4.444 0.000
0.000 0.000 9.534
Sb F Li
2 12 2
direct
0.000 0.000 0.000
0.000 0.000 0.500
0.962 0.678 0.883
0.322 0.038 0.617
0.678 0.962 0.383
0.716 0.038 0.883
0.962 0.284 0.617
0.678 0.716 0.117
0.284 0.962 0.117
0.322 0.284 0.883
0.038 0.716 0.383
0.716 0.678 0.617
0.038 0.322 0.117
0.284 0.322 0.383
0.667 0.333 0.750
0.333 0.667 0.250
```

Polymorph energy (0 for the lowest one) (meV/atom): 13.2
SG: P-31c, No. 163
ρ (g/cm³): 3.71
E_form (uncorrected) (eV per atom): -2.537

Below is crystalline LiSbF6 at its relaxed geometry, with properties calculated at the PBE level.

```
LiSbF6
1.0
-4.305 -2.452 -2.471
-2.918 -4.039 2.414
-5.218 0.707 1.711
F Sb Li
6 1 1
direct
0.662 0.240 0.858
0.240 0.858 0.662
0.858 0.662 0.240
0.142 0.338 0.760
0.760 0.142 0.338
0.338 0.760 0.142
0.000 0.000 0.000
0.500 0.500 0.500
```

Polymorph energy (0 for the lowest one) (meV/atom): 0.0
SG: R-3, No. 148
ρ (g/cm³): 3.57
E_form (uncorrected) (eV per atom): -2.550

Below is crystalline LiSb3F at its relaxed geometry, with properties calculated at the PBE level.

```
LiSb3F
1.0
-4.000 0.669 2.739
-1.675 -4.388 -1.374
2.268 -2.060 3.816
Sb F Li
3 1 1
direct
0.500 0.000 0.000
0.000 0.000 0.500
0.000 0.500 0.000
0.500 0.500 0.500
0.000 0.000 0.000
```

Polymorph energy (0 for the lowest one) (meV/atom): 260.5
SG: Pm-3m, No. 221
ρ (g/cm³): 5.54
E_form (uncorrected) (eV per atom): 0.005